Entry 1:
The following is a PBE calculation of LuTeAuO after structural relaxation, from the Open Quantum Materials Database.

Unit cell a=5.5738 b=5.5738 c=10.1163 alpha=90.00 beta=90.00 gamma=90.00
Element x y z (fractional)
1 Lu 0.0000 0.0000 0.0000
2 Lu 0.0000 0.5000 0.2028
3 Lu 0.5000 0.0000 0.2028
4 Lu 0.5000 0.5000 0.0000
5 Te 0.0000 0.0000 0.3824
6 Te 0.0000 0.5000 0.8225
7 Te 0.5000 0.0000 0.8225
8 Te 0.5000 0.5000 0.3824
9 Au 0.2122 0.2878 0.5985
10 Au 0.2878 0.7878 0.5985
11 Au 0.7122 0.2122 0.5985
12 Au 0.7878 0.7122 0.5985
13 O 0.2490 0.2510 0.1018
14 O 0.2510 0.7510 0.1018
15 O 0.7490 0.2490 0.1018
16 O 0.7510 0.7490 0.1018

Output
Energy above the most stable polymorph in this dataset (eV per atom): 0.031
Space group: P4bm (100)

---

Entry 2:
The following is a PBE calculation of TlAg10 after structural relaxation, from the Open Quantum Materials Database.

Unit cell a=4.9601 b=4.9601 c=33.1432 alpha=90.26 beta=90.26 gamma=47.97
Element x y z (fractional)
1 Tl 0.1510 0.1510 0.1878
2 Tl 0.8490 0.8490 0.8122
3 Ag 0.0495 0.0495 0.3981
4 Ag 0.0503 0.0503 0.6873
5 Ag 0.1476 0.1476 0.7727
6 Ag 0.1509 0.1509 0.4852
7 Ag 0.2506 0.2506 0.5729
8 Ag 0.2534 0.2534 0.2845
9 Ag 0.3465 0.3465 0.6577
10 Ag 0.3532 0.3532 0.3703
11 Ag 0.4482 0.4482 0.7437
12 Ag 0.4500 0.4500 0.4565
13 Ag 0.5500 0.5500 0.5435
14 Ag 0.5518 0.5518 0.2563
15 Ag 0.6468 0.6468 0.6297
16 Ag 0.6535 0.6535 0.3423
17 Ag 0.7466 0.7466 0.7155
18 Ag 0.7494 0.7494 0.4271
19 Ag 0.8491 0.8491 0.5148
20 Ag 0.8524 0.8524 0.2273
21 Ag 0.9497 0.9497 0.3127
22 Ag 0.9505 0.9505 0.6019

Output
Electronic total energy (eV per formula unit): -29.90
Space group: C2/m (12)

---

Entry 3:
The following is a PBE calculation of YB4Pt after structural relaxation, from the Open Quantum Materials Database.

Unit cell a=3.2530 b=3.2530 c=6.8440 alpha=90.00 beta=90.00 gamma=120.00
Element x y z (fractional)
1 Y 0.0000 0.0000 0.0000
2 B 0.3333 0.6667 0.2713
3 B 0.3333 0.6667 0.7287
4 B 0.6667 0.3333 0.2713
5 B 0.6667 0.3333 0.7287
6 Pt 0.0000 0.0000 0.5000

Output
Energy above the most stable polymorph in this dataset (eV per atom): 0.022
Space group: P6/mmm (191)

---

Entry 4:
The following is a PBE calculation of Cu7Ag3 after structural relaxation, from the Open Quantum Materials Database.

Unit cell a=8.9560 b=8.9560 c=5.6493 alpha=99.10 beta=99.10 gamma=17.83
Element x y z (fractional)
1 Cu 0.0000 0.0000 0.0000
2 Cu 0.0005 0.0005 0.5436
3 Cu 0.2134 0.2134 0.6201
4 Cu 0.2199 0.2199 0.1375
5 Cu 0.4017 0.4017 0.7231
6 Cu 0.8035 0.8035 0.9063
7 Cu 0.8059 0.8059 0.4414
8 Ag 0.4029 0.4029 0.2221
9 Ag 0.6041 0.6041 0.3220
10 Ag 0.6127 0.6127 0.8311

Output
Energy above the most stable polymorph in this dataset (eV per atom): 0.036
Space group: Cm (8)